Record 1
Entry from the Alexandria database: crystalline ScSnAs2Br at its relaxed geometry (GGA-PBE).

Properties
ΔE_f (raw) = 0.34 eV per atom
SG = P4/mmm, No. 123
Total magnetic moment = 0.0 μB/cell
Fermi-level density of states = 2.1 states/eV per cell
Polymorph energy (0 for the lowest one) = 511 meV per atom

Unit cell a=5.229 b=5.229 c=5.334 alpha=90.00 beta=90.00 gamma=90.00
Fractional coordinates of all 5 atoms:
Sc 0.500 0.500 0.500
As 0.000 0.500 0.000
As 0.500 0.000 0.000
Sn 0.000 0.000 0.000
Br 0.000 0.000 0.500


Record 2
Entry from the Alexandria database: crystalline Tb2ScGa6 at its relaxed geometry (GGA-PBE).

Properties
SG = P6/mmm, No. 191
Total magnetic moment = 0.0 μB/cell
Fermi-level density of states = 4.4 states/eV per cell
Polymorph energy (0 for the lowest one) = 0 meV per atom

Unit cell a=3.738 b=7.447 c=7.447 alpha=120.00 beta=90.00 gamma=90.00
Fractional coordinates of all 9 atoms:
Ga 0.500 0.000 0.330
Ga 0.500 0.330 0.000
Ga 0.500 0.330 0.330
Ga 0.500 0.670 0.670
Ga 0.500 0.670 0.000
Ga 0.500 0.000 0.670
Tb 0.000 0.333 0.667
Tb 0.000 0.667 0.333
Sc 0.000 0.000 0.000


Record 3
Entry from the Alexandria database: crystalline ErTiSn at its relaxed geometry (GGA-PBE).

Properties
SG = P-6m2, No. 187
Total magnetic moment = 1.9 μB/cell
Fermi-level density of states = 4.7 states/eV per cell
Polymorph energy (0 for the lowest one) = 325 meV per atom

Unit cell a=3.370 b=4.934 c=4.934 alpha=120.00 beta=90.00 gamma=90.00
Fractional coordinates of all 3 atoms:
Ti 0.167 0.333 0.667
Er 0.667 0.667 0.333
Sn 0.166 0.000 0.000